Entry 1:
NaHgSbI2: relaxed, PBE.

Excess energy over the best structure of this formula in the dataset (eV per atom): 0.0000
M_tot (μB/cell): 1.8
Formation energy (no corrections) (eV/atom): -0.0339
E_tot (eV/atom): -1.803

a b c (Å): 6.3333 6.3333 5.5375
angles (deg): 90.00 90.00 90.00
With the nearest neighbours (Å) after each atom.
Space group P4/mmm (No. 123)
Unique sites:
Na 0.0000 0.0000 0.0000 [1 per cell]  8 I 4.21, 4 Sb 4.48
Hg 0.5000 0.5000 0.5000 [1 per cell]  2 Sb 2.77
Sb 0.5000 0.5000 0.0000 [1 per cell]  2 Hg 2.77
I 0.0000 0.5000 0.5000 [2 per cell]  2 Hg 3.17

Entry 2:
Na2MoN2: relaxed, PBE.

M_tot (μB/cell): 0.0
Formation energy (no corrections) (eV/atom): -0.1049
E_tot (eV/atom): -6.129

a b c (Å): 2.9663 9.4437 5.7250
angles (deg): 90.00 104.33 90.00
With the nearest neighbours (Å) after each atom.
Space group P2_1 (No. 4)
Unique sites:
Na 0.1316 0.0000 0.2423 [2 per cell]  3 N 2.50-2.55
Na 0.3420 0.8341 0.7083 [2 per cell]  4 N 2.42-2.69
Mo 0.4826 0.1644 0.7713 [2 per cell]  2 N 1.85-1.86
N 0.0085 0.2270 0.9948 [2 per cell]  1 Mo 1.85
N 0.1967 0.5581 0.4078 [2 per cell]  1 Mo 1.86

Q: Number 2 is which compound?
A: Na2MoN2

Q: Which formula does entry 1 have?
A: NaHgSbI2

Q: Which of these has the lowest formation energy (no corrections)?
A: Na2MoN2

Q: Which value of M_tot does entry 2 give?
A: 0.0 μB/cell